(1)
Density functional theory data (meta-GGA SCAN) for a crystal of TaAl2Mo relaxed with PBEsol.

CIF file:
```
data_TaAl2Mo
_symmetry_space_group_name_H-M 'C 1 2/m 1'
_symmetry_Int_Tables_number 12
_cell_length_a 5.468
_cell_length_b 8.511
_cell_length_c 2.746
_cell_angle_alpha 90.00
_cell_angle_beta 102.40
_cell_angle_gamma 90.00
loop_
_symmetry_equiv_pos_as_xyz
'x,y,z'
'-x,-y,-z'
'-x,y,-z'
'x,-y,z'
'x+1/2,y+1/2,z'
'-x+1/2,-y+1/2,-z'
'-x+1/2,y+1/2,-z'
'x+1/2,-y+1/2,z'
loop_
_atom_site_label
_atom_site_fract_x
_atom_site_fract_y
_atom_site_fract_z
Ta1 0.000 0.000 0.000
Al1 0.250 0.250 0.500
Mo1 0.000 0.500 0.000
```

Computed properties:
DFT total energy	-29.465	eV per atom
DFT formation energy	-21.4	kJ per mole of atoms
calculated density	8.8	g/cm3
DOS(E_F)	4.021	states/eV per cell
total magnetic moment	0.00	μB per formula unit



(2)
Density functional theory data (meta-GGA SCAN) for a crystal of TaAl2Mo relaxed with PBEsol.

CIF file:
```
data_TaAl2Mo
_symmetry_space_group_name_H-M 'P 4 m m'
_symmetry_Int_Tables_number 99
_cell_length_a 2.739
_cell_length_b 2.739
_cell_length_c 8.528
_cell_angle_alpha 90.00
_cell_angle_beta 90.00
_cell_angle_gamma 90.00
loop_
_symmetry_equiv_pos_as_xyz
'x,y,z'
'-y,x,z'
'-x,-y,z'
'y,-x,z'
'-x,y,z'
'y,x,z'
'x,-y,z'
'-y,-x,z'
loop_
_atom_site_label
_atom_site_fract_x
_atom_site_fract_y
_atom_site_fract_z
Ta1 0.000 0.000 0.000
Al1 0.000 0.000 0.496
Al2 0.500 0.500 0.243
Mo1 0.500 0.500 0.729
```

Computed properties:
DFT total energy	-29.244	eV per atom
DFT formation energy	-0.1	kJ per mole of atoms
calculated density	8.6	g/cm3
DOS(E_F)	2.641	states/eV per cell
total magnetic moment	0.00	μB per formula unit



(3)
Density functional theory data (meta-GGA SCAN) for a crystal of TaAl3Mo relaxed with PBEsol.

CIF file:
```
data_TaAl3Mo
_symmetry_space_group_name_H-M 'P m -3 m'
_symmetry_Int_Tables_number 221
_symmetry_space_group_name_Hall '-P 4 2 3'
_cell_length_a 4.593
_cell_length_b 4.593
_cell_length_c 4.593
_cell_angle_alpha 90.00
_cell_angle_beta 90.00
_cell_angle_gamma 90.00
loop_
_atom_site_label
_atom_site_fract_x
_atom_site_fract_y
_atom_site_fract_z
Ta1 0.000 0.000 0.000
Al1 0.000 0.500 0.500
Mo1 0.500 0.500 0.500
```

Computed properties:
DFT total energy	-23.916	eV per atom
DFT formation energy	99.2	kJ per mole of atoms
calculated density	6.1	g/cm3
DOS(E_F)	2.141	states/eV per cell
total magnetic moment	1.97	μB per formula unit



(4)
Density functional theory data (meta-GGA SCAN) for a crystal of TaAl2Mo relaxed with PBEsol.

CIF file:
```
data_TaAl2Mo
_symmetry_space_group_name_H-M 'P 1 m 1'
_symmetry_Int_Tables_number 6
_cell_length_a 2.787
_cell_length_b 4.475
_cell_length_c 5.044
_cell_angle_alpha 90.00
_cell_angle_beta 96.80
_cell_angle_gamma 90.00
loop_
_symmetry_equiv_pos_as_xyz
'x,y,z'
'x,-y,z'
loop_
_atom_site_label
_atom_site_fract_x
_atom_site_fract_y
_atom_site_fract_z
Ta1 0.000 0.000 0.000
Al1 0.553 0.000 0.505
Al2 0.595 0.500 0.222
Mo1 0.169 0.500 0.719
```

Computed properties:
DFT total energy	-29.513	eV per atom
DFT formation energy	-26.0	kJ per mole of atoms
calculated density	8.8	g/cm3
DOS(E_F)	1.482	states/eV per cell
total magnetic moment	0.00	μB per formula unit



(5)
Density functional theory data (meta-GGA SCAN) for a crystal of TaAlMo relaxed with PBEsol.

CIF file:
```
data_TaAlMo
_symmetry_space_group_name_H-M 'P 3 m 1'
_symmetry_Int_Tables_number 156
_cell_length_a 4.4955
_cell_length_b 4.4955
_cell_length_c 2.7502
_cell_angle_alpha 90.00
_cell_angle_beta 90.00
_cell_angle_gamma 120.00
loop_
_symmetry_equiv_pos_as_xyz
'x,y,z'
'-y,x-y,z'
'-x+y,-x,z'
'-y,-x,z'
'-x+y,y,z'
'x,x-y,z'
loop_
_atom_site_label
_atom_site_fract_x
_atom_site_fract_y
_atom_site_fract_z
Ta1 0.0000 0.0000 0.0000
Al1 0.3333 0.6667 0.3936
Mo1 0.6667 0.3333 0.7244
```

Computed properties:
DFT total energy	-36.636	eV per atom
DFT formation energy	-22.2	kJ per mole of atoms
calculated density	10.5	g/cm3
DOS(E_F)	1.249	states/eV per cell
total magnetic moment	0.00	μB per formula unit



(6)
Density functional theory data (meta-GGA SCAN) for a crystal of TaAlMo relaxed with PBEsol.

CIF file:
```
data_TaAlMo
_symmetry_space_group_name_H-M 'I 4 m m'
_symmetry_Int_Tables_number 107
_symmetry_space_group_name_Hall 'I 4 -2'
_cell_length_a 3.331
_cell_length_b 3.331
_cell_length_c 8.714
_cell_angle_alpha 90.00
_cell_angle_beta 90.00
_cell_angle_gamma 90.00
loop_
_atom_site_label
_atom_site_fract_x
_atom_site_fract_y
_atom_site_fract_z
Ta1 0.000 0.000 0.000
Al1 0.000 0.000 0.679
Mo1 0.000 0.000 0.345
```

Computed properties:
DFT total energy	-36.660	eV per atom
DFT formation energy	-24.4	kJ per mole of atoms
calculated density	10.4	g/cm3
DOS(E_F)	2.454	states/eV per cell
total magnetic moment	0.00	μB per formula unit



(7)
Density functional theory data (meta-GGA SCAN) for a crystal of TaAl2Mo relaxed with PBEsol.

CIF file:
```
data_TaAl2Mo
_symmetry_space_group_name_H-M 'P m m m'
_symmetry_Int_Tables_number 47
_cell_length_a 3.394
_cell_length_b 4.286
_cell_length_c 4.290
_cell_angle_alpha 90.00
_cell_angle_beta 90.00
_cell_angle_gamma 90.00
loop_
_symmetry_equiv_pos_as_xyz
'x,y,z'
'-x,-y,-z'
'-x,-y,z'
'x,y,-z'
'x,-y,-z'
'-x,y,z'
'-x,y,-z'
'x,-y,z'
loop_
_atom_site_label
_atom_site_fract_x
_atom_site_fract_y
_atom_site_fract_z
Ta1 0.000 0.000 0.000
Al1 0.000 0.500 0.500
Al2 0.500 0.500 0.000
Mo1 0.500 0.000 0.500
```

Computed properties:
DFT total energy	-29.500	eV per atom
DFT formation energy	-24.8	kJ per mole of atoms
calculated density	8.8	g/cm3
DOS(E_F)	1.918	states/eV per cell
total magnetic moment	0.00	μB per formula unit



(8)
Density functional theory data (meta-GGA SCAN) for a crystal of TaAl2Mo relaxed with PBEsol.

CIF file:
```
data_TaAl2Mo
_symmetry_space_group_name_H-M 'P 4 m m'
_symmetry_Int_Tables_number 99
_cell_length_a 3.321
_cell_length_b 3.321
_cell_length_c 5.796
_cell_angle_alpha 90.00
_cell_angle_beta 90.00
_cell_angle_gamma 90.00
loop_
_symmetry_equiv_pos_as_xyz
'x,y,z'
'-y,x,z'
'-x,-y,z'
'y,-x,z'
'-x,y,z'
'y,x,z'
'x,-y,z'
'-y,-x,z'
loop_
_atom_site_label
_atom_site_fract_x
_atom_site_fract_y
_atom_site_fract_z
Ta1 0.000 0.000 0.000
Al1 0.000 0.000 0.519
Al2 0.500 0.500 0.278
Mo1 0.500 0.500 0.776
```

Computed properties:
DFT total energy	-29.481	eV per atom
DFT formation energy	-22.9	kJ per mole of atoms
calculated density	8.6	g/cm3
DOS(E_F)	2.669	states/eV per cell
total magnetic moment	0.00	μB per formula unit



Question: Which of these has the highest DFT formation energy?
Answer: TaAl3Mo



Question: What is the total magnetic moment in the first record?
Answer: 0.00 μB per formula unit